Compound: Tm3Pu5Te8
Source: Alexandria
Functional: PBE-GGA
Structure: relaxed

For the total magnetic moment, the calculation gives 18.0 μB per formula unit. As for the energy relative to the elements, uncorrected: -18.2 eV per formula unit. For the calculated volume, the calculation gives 29.7 A^3/atom. Its space group is R-3m, No. 166. The density of states at the Fermi level comes out at 54.369 states/eV/f.u.

The structure in POSCAR format:
```
Tm3Pu5Te8
1.0
4.353 2.513 7.252
-4.353 2.513 7.252
0.000 -5.026 7.252
Tm Pu Te
3 5 8
Cartesian
-2.176 -1.257 7.252
-2.176 1.257 14.503
0.000 2.513 7.251
0.000 0.000 0.000
-4.353 0.000 10.877
-2.176 1.257 3.626
2.176 1.257 3.626
0.000 0.000 10.877
0.000 -2.477 9.017
-2.145 1.238 9.017
0.000 0.000 5.509
-2.145 -1.238 12.737
2.145 1.238 9.017
0.000 0.000 16.246
2.145 -1.238 12.737
0.000 2.477 12.737
```